No. 1
First-principles (PBE) data for a geometry-optimized PmZrZnPt structure, as listed in Alexandria.

a = 4.9297 Å, b = 4.9297 Å, c = 4.9297 Å
α = 60.00°, β = 60.00°, γ = 60.00°
Positions (direct):
Pm: 0.0000 0.0000 0.0000
Zr: 0.5000 0.5000 0.5000
Zn: 0.7500 0.7500 0.7500
Pt: 0.2500 0.2500 0.2500

formation energy from the elements	-0.52	eV per atom
magnetization	0.0	μB/cell

---

No. 2
First-principles (PBE) data for a geometry-optimized PmZrPt2 structure, as listed in Alexandria.

a = 5.4804 Å, b = 5.4804 Å, c = 5.4804 Å
α = 50.08°, β = 50.08°, γ = 50.08°
Positions (direct):
Pm: 0.0000 0.0000 0.0000
Zr: 0.5000 0.5000 0.5000
Pt: 0.2152 0.2152 0.2152
Pt: 0.7848 0.7848 0.7848

energy above the lowest structure with this stoichiometry	113	meV/atom
formation energy from the elements	-1.00	eV per atom
magnetization	0.0	μB/cell

---

No. 3
First-principles (PBE) data for a geometry-optimized PmZrPt2 structure, as listed in Alexandria.

a = 5.5554 Å, b = 4.4487 Å, c = 7.3733 Å
α = 90.00°, β = 108.22°, γ = 90.00°
Positions (direct):
Pm: 0.2228 0.2500 0.4277
Pm: 0.7772 0.7500 0.5723
Zr: 0.2148 0.2500 0.9343
Zr: 0.7852 0.7500 0.0657
Pt: 0.3074 0.7500 0.1729
Pt: 0.3308 0.7500 0.7396
Pt: 0.6692 0.2500 0.2604
Pt: 0.6926 0.2500 0.8271

energy above the lowest structure with this stoichiometry	0	meV/atom
formation energy from the elements	-1.11	eV per atom
magnetization	0.0	μB/cell

---

No. 4
First-principles (PBE) data for a geometry-optimized PmZrPt2 structure, as listed in Alexandria.

a = 3.3947 Å, b = 3.3947 Å, c = 7.3015 Å
α = 90.00°, β = 90.00°, γ = 90.00°
Positions (direct):
Pm: 0.0000 0.0000 0.0000
Zr: 0.0000 0.0000 0.5000
Pt: 0.5000 0.5000 0.2915
Pt: 0.5000 0.5000 0.7085

energy above the lowest structure with this stoichiometry	104	meV/atom
formation energy from the elements	-1.01	eV per atom
magnetization	0.0	μB/cell

---

No. 5
First-principles (PBE) data for a geometry-optimized PmZrPt2 structure, as listed in Alexandria.

a = 3.6348 Å, b = 4.4348 Å, c = 5.6308 Å
α = 90.00°, β = 108.67°, γ = 90.00°
Positions (direct):
Pm: 0.0000 0.0000 0.0000
Zr: 0.7213 0.5000 0.4398
Pt: 0.2670 0.0000 0.5323
Pt: 0.4474 0.5000 0.8933

energy above the lowest structure with this stoichiometry	61	meV/atom
formation energy from the elements	-1.05	eV per atom
magnetization	0.0	μB/cell

---

No. 6
First-principles (PBE) data for a geometry-optimized PmPu3 structure, as listed in Alexandria.

a = 5.9578 Å, b = 5.9578 Å, c = 5.9578 Å
α = 131.91°, β = 131.91°, γ = 70.37°
Positions (direct):
Pm: 0.0000 0.0000 0.0000
Pu: 0.2500 0.7500 0.5000
Pu: 0.5000 0.5000 0.0000
Pu: 0.7500 0.2500 0.5000

energy above the lowest structure with this stoichiometry	7	meV/atom
formation energy from the elements	0.29	eV per atom
magnetization	17.7	μB/cell

---

No. 7
First-principles (PBE) data for a geometry-optimized Pm3Pu structure, as listed in Alexandria.

a = 5.7148 Å, b = 5.7148 Å, c = 5.7148 Å
α = 60.00°, β = 60.00°, γ = 60.00°
Positions (direct):
Pm: 0.0000 0.0000 0.0000
Pm: 0.2500 0.2500 0.2500
Pm: 0.7500 0.7500 0.7500
Pu: 0.5000 0.5000 0.5000

energy above the lowest structure with this stoichiometry	99	meV/atom
formation energy from the elements	0.23	eV per atom
magnetization	7.5	μB/cell

---

No. 8
First-principles (PBE) data for a geometry-optimized PmPu structure, as listed in Alexandria.

a = 3.2370 Å, b = 3.5718 Å, c = 9.0698 Å
α = 90.00°, β = 92.34°, γ = 90.00°
Positions (direct):
Pm: 0.2458 0.2500 0.3410
Pm: 0.7542 0.7500 0.6590
Pu: 0.3549 0.2500 0.9358
Pu: 0.6451 0.7500 0.0642

formation energy from the elements	0.23	eV per atom
magnetization	0.0	μB/cell

---

No. 9
First-principles (PBE) data for a geometry-optimized Pm3Pu structure, as listed in Alexandria.

a = 3.5784 Å, b = 5.8392 Å, c = 6.2836 Å
α = 90.00°, β = 90.00°, γ = 90.00°
Positions (direct):
Pm: 0.0000 0.0000 0.0000
Pm: 0.0000 0.5000 0.3306
Pm: 0.5000 0.0000 0.5075
Pu: 0.5000 0.5000 0.8288

energy above the lowest structure with this stoichiometry	11	meV/atom
formation energy from the elements	0.14	eV per atom
magnetization	6.4	μB/cell

---

No. 10
First-principles (PBE) data for a geometry-optimized PmPu5 structure, as listed in Alexandria.

a = 6.9762 Å, b = 6.9762 Å, c = 4.1081 Å
α = 90.00°, β = 90.00°, γ = 134.84°
Positions (direct):
Pm: 0.0000 0.0000 0.0000
Pu: 0.2218 0.7782 0.5000
Pu: 0.3277 0.6723 0.0000
Pu: 0.5000 0.5000 0.5000
Pu: 0.6723 0.3277 0.0000
Pu: 0.7782 0.2218 0.5000

formation energy from the elements	0.25	eV per atom
magnetization	7.5	μB/cell

---

No. 11
First-principles (PBE) data for a geometry-optimized Pm2Pu structure, as listed in Alexandria.

a = 7.9869 Å, b = 7.9869 Å, c = 7.9869 Å
α = 154.22°, β = 154.22°, γ = 36.77°
Positions (direct):
Pm: 0.1630 0.1630 0.0000
Pm: 0.8370 0.8370 0.0000
Pu: 0.5000 0.5000 0.0000

formation energy from the elements	0.13	eV per atom
magnetization	6.2	μB/cell

---

No. 12
First-principles (PBE) data for a geometry-optimized Pm3Pu structure, as listed in Alexandria.

a = 6.8500 Å, b = 6.8500 Å, c = 6.8500 Å
α = 149.48°, β = 63.68°, γ = 125.59°
Positions (direct):
Pm: 0.0000 0.0000 0.0000
Pm: 0.1022 0.3460 0.7562
Pm: 0.5898 0.3460 0.2438
Pu: 0.5111 0.0111 0.5000

energy above the lowest structure with this stoichiometry	0	meV/atom
formation energy from the elements	0.13	eV per atom
magnetization	6.6	μB/cell

---

No. 13
First-principles (PBE) data for a geometry-optimized Pm3Pu structure, as listed in Alexandria.

a = 5.0692 Å, b = 5.0692 Å, c = 5.0692 Å
α = 90.00°, β = 90.00°, γ = 90.00°
Positions (direct):
Pm: 0.0000 0.0000 0.5000
Pm: 0.0000 0.5000 0.0000
Pm: 0.5000 0.0000 0.0000
Pu: 0.5000 0.5000 0.5000

energy above the lowest structure with this stoichiometry	22	meV/atom
formation energy from the elements	0.15	eV per atom
magnetization	6.3	μB/cell

---

No. 14
First-principles (PBE) data for a geometry-optimized Pm3Pu structure, as listed in Alexandria.

a = 6.2238 Å, b = 6.2238 Å, c = 6.2238 Å
α = 132.22°, β = 132.22°, γ = 69.89°
Positions (direct):
Pm: 0.0000 0.0000 0.0000
Pm: 0.2500 0.7500 0.5000
Pm: 0.7500 0.2500 0.5000
Pu: 0.5000 0.5000 0.0000

energy above the lowest structure with this stoichiometry	4	meV/atom
formation energy from the elements	0.13	eV per atom
magnetization	6.7	μB/cell

---

No. 15
First-principles (PBE) data for a geometry-optimized PmPu3 structure, as listed in Alexandria.

a = 4.8490 Å, b = 4.8490 Å, c = 4.8490 Å
α = 90.00°, β = 90.00°, γ = 90.00°
Positions (direct):
Pm: 0.0000 0.0000 0.0000
Pu: 0.0000 0.5000 0.5000
Pu: 0.5000 0.0000 0.5000
Pu: 0.5000 0.5000 0.0000

energy above the lowest structure with this stoichiometry	0	meV/atom
formation energy from the elements	0.29	eV per atom
magnetization	17.6	μB/cell

---

No. 16
First-principles (PBE) data for a geometry-optimized PmPu3 structure, as listed in Alexandria.

a = 6.9854 Å, b = 6.9854 Å, c = 5.4926 Å
α = 90.00°, β = 90.00°, γ = 120.00°
Positions (direct):
Pm: 0.3333 0.6667 0.2500
Pm: 0.6667 0.3333 0.7500
Pu: 0.1618 0.3235 0.7500
Pu: 0.1618 0.8382 0.7500
Pu: 0.3235 0.1618 0.2500
Pu: 0.6765 0.8382 0.7500
Pu: 0.8382 0.1618 0.2500
Pu: 0.8382 0.6765 0.2500

energy above the lowest structure with this stoichiometry	17	meV/atom
formation energy from the elements	0.30	eV per atom
magnetization	36.3	μB/cell

---

No. 17
First-principles (PBE) data for a geometry-optimized Rb2Pm2PuS6 structure, as listed in Alexandria.

a = 7.1097 Å, b = 7.1097 Å, c = 8.2210 Å
α = 98.47°, β = 98.47°, γ = 119.72°
Positions (direct):
Rb: 0.1694 0.8306 0.0000
Rb: 0.8306 0.1694 0.0000
Pm: 0.3339 0.6661 0.5000
Pm: 0.6661 0.3339 0.5000
Pu: 0.0000 0.0000 0.5000
S: 0.0614 0.3838 0.6877
S: 0.2532 0.2532 0.3127
S: 0.3838 0.0614 0.6877
S: 0.6162 0.9386 0.3123
S: 0.7468 0.7468 0.6873
S: 0.9386 0.6162 0.3123

magnetization	4.0	μB/cell
ΔE_f (raw)	-1.71	eV/atom

---

No. 18
First-principles (PBE) data for a geometry-optimized Rb3PmPu2S6 structure, as listed in Alexandria.

a = 7.2071 Å, b = 7.2071 Å, c = 8.0370 Å
α = 98.60°, β = 98.60°, γ = 120.00°
Positions (direct):
Rb: 0.0000 0.0000 0.0000
Rb: 0.3341 0.6659 0.0000
Rb: 0.6659 0.3341 0.0000
Pm: 0.5000 0.5000 0.5000
Pu: 0.1667 0.8333 0.5000
Pu: 0.8333 0.1667 0.5000
S: 0.0973 0.4358 0.3075
S: 0.2256 0.2256 0.6924
S: 0.4358 0.0973 0.3075
S: 0.5642 0.9027 0.6925
S: 0.7744 0.7744 0.3076
S: 0.9027 0.5642 0.6925

magnetization	10.0	μB/cell
ΔE_f (raw)	-1.64	eV/atom

---

No. 19
First-principles (PBE) data for a geometry-optimized Rb3Pm3PuS8 structure, as listed in Alexandria.

a = 9.1642 Å, b = 9.1642 Å, c = 9.1642 Å
α = 53.74°, β = 53.74°, γ = 53.74°
Positions (direct):
Rb: 0.0000 0.5000 0.5000
Rb: 0.5000 0.0000 0.5000
Rb: 0.5000 0.5000 0.0000
Pm: 0.0000 0.0000 0.5000
Pm: 0.0000 0.5000 0.0000
Pm: 0.5000 0.0000 0.0000
Pu: 0.5000 0.5000 0.5000
S: 0.2317 0.2317 0.2317
S: 0.2424 0.7221 0.7221
S: 0.2779 0.2779 0.7576
S: 0.2779 0.7576 0.2779
S: 0.7221 0.2424 0.7221
S: 0.7221 0.7221 0.2424
S: 0.7576 0.2779 0.2779
S: 0.7683 0.7683 0.7683

magnetization	4.0	μB/cell
ΔE_f (raw)	-1.75	eV/atom

---

No. 20
First-principles (PBE) data for a geometry-optimized Rb4Pm3PuS8 structure, as listed in Alexandria.

a = 9.0847 Å, b = 9.0847 Å, c = 9.0847 Å
α = 54.94°, β = 54.94°, γ = 54.94°
Positions (direct):
Rb: 0.0000 0.0000 0.0000
Rb: 0.0000 0.5000 0.5000
Rb: 0.5000 0.0000 0.5000
Rb: 0.5000 0.5000 0.0000
Pm: 0.0000 0.0000 0.5000
Pm: 0.0000 0.5000 0.0000
Pm: 0.5000 0.0000 0.0000
Pu: 0.5000 0.5000 0.5000
S: 0.2323 0.2323 0.2323
S: 0.2340 0.7300 0.7300
S: 0.2700 0.2700 0.7660
S: 0.2700 0.7660 0.2700
S: 0.7300 0.2340 0.7300
S: 0.7300 0.7300 0.2340
S: 0.7660 0.2700 0.2700
S: 0.7677 0.7677 0.7677

magnetization	5.0	μB/cell
ΔE_f (raw)	-1.75	eV/atom

---

No. 21
First-principles (PBE) data for a geometry-optimized Rb3PmPu2Se6 structure, as listed in Alexandria.

a = 7.4965 Å, b = 7.4965 Å, c = 8.3608 Å
α = 98.59°, β = 98.59°, γ = 120.00°
Positions (direct):
Rb: 0.0000 0.0000 0.0000
Rb: 0.3341 0.6659 0.0000
Rb: 0.6659 0.3341 0.0000
Pm: 0.5000 0.5000 0.5000
Pu: 0.1668 0.8332 0.5000
Pu: 0.8332 0.1668 0.5000
Se: 0.0972 0.4344 0.3032
Se: 0.2283 0.2283 0.6966
Se: 0.4344 0.0972 0.3032
Se: 0.5656 0.9028 0.6968
Se: 0.7717 0.7717 0.3034
Se: 0.9028 0.5656 0.6968

magnetization	10.0	μB/cell
ΔE_f (raw)	-1.53	eV/atom

---

No. 22
First-principles (PBE) data for a geometry-optimized Rb3Pm3PuSe8 structure, as listed in Alexandria.

a = 8.5872 Å, b = 8.5872 Å, c = 9.5375 Å
α = 116.76°, β = 116.76°, γ = 59.99°
Positions (direct):
Rb: 0.0000 0.0000 0.0000
Rb: 0.0000 0.5000 0.0000
Rb: 0.5000 0.0000 0.0000
Pm: 0.0000 0.5000 0.5000
Pm: 0.5000 0.0000 0.5000
Pm: 0.5000 0.5000 0.5000
Pu: 0.0000 0.0000 0.5000
Se: 0.2253 0.2253 0.6919
Se: 0.2256 0.7416 0.6916
Se: 0.2584 0.7744 0.3084
Se: 0.2665 0.2665 0.3006
Se: 0.7335 0.7335 0.6994
Se: 0.7416 0.2256 0.6916
Se: 0.7744 0.2584 0.3084
Se: 0.7747 0.7747 0.3081

magnetization	4.0	μB/cell
ΔE_f (raw)	-1.64	eV/atom

---

No. 23
First-principles (PBE) data for a geometry-optimized Rb3Pm2PuSe6 structure, as listed in Alexandria.

a = 7.5350 Å, b = 7.5350 Å, c = 8.3737 Å
α = 98.63°, β = 98.63°, γ = 120.00°
Positions (direct):
Rb: 0.0000 0.0000 0.0000
Rb: 0.3326 0.6674 0.0000
Rb: 0.6674 0.3326 0.0000
Pm: 0.1666 0.8334 0.5000
Pm: 0.8334 0.1666 0.5000
Pu: 0.5000 0.5000 0.5000
Se: 0.1028 0.4340 0.3019
Se: 0.2350 0.2350 0.6985
Se: 0.4340 0.1028 0.3019
Se: 0.5660 0.8972 0.6981
Se: 0.7650 0.7650 0.3015
Se: 0.8972 0.5660 0.6981

magnetization	5.0	μB/cell
ΔE_f (raw)	-1.63	eV/atom

---

No. 24
First-principles (PBE) data for a geometry-optimized Rb3PmPu2Te6 structure, as listed in Alexandria.

a = 7.9883 Å, b = 7.9883 Å, c = 8.9349 Å
α = 98.57°, β = 98.57°, γ = 120.00°
Positions (direct):
Rb: 0.0000 0.0000 0.0000
Rb: 0.3342 0.6658 0.0000
Rb: 0.6658 0.3342 0.0000
Pm: 0.5000 0.5000 0.5000
Pu: 0.1668 0.8332 0.5000
Pu: 0.8332 0.1668 0.5000
Te: 0.0967 0.4328 0.2988
Te: 0.2307 0.2307 0.7008
Te: 0.4328 0.0967 0.2988
Te: 0.5672 0.9033 0.7012
Te: 0.7693 0.7693 0.2992
Te: 0.9033 0.5672 0.7012

magnetization	10.0	μB/cell
ΔE_f (raw)	-1.20	eV/atom

---

No. 25
First-principles (PBE) data for a geometry-optimized Rb2PmPuTe4 structure, as listed in Alexandria.

a = 8.0116 Å, b = 4.6215 Å, c = 8.9382 Å
α = 90.00°, β = 107.42°, γ = 90.00°
Positions (direct):
Rb: 0.0000 0.0000 0.0000
Rb: 0.5000 0.5000 0.0000
Pm: 0.0000 0.5000 0.5000
Pu: 0.5000 0.0000 0.5000
Te: 0.2353 0.0000 0.7032
Te: 0.2688 0.5000 0.3000
Te: 0.7312 0.5000 0.7000
Te: 0.7647 0.0000 0.2968

magnetization	5.0	μB/cell
ΔE_f (raw)	-1.25	eV/atom